# 1
The following is a PBE-GGA calculation of an optimized crystal structure of BaAlSi2Mo, from Alexandria via LeMat-Bulk.

Results
The magnetization is 0.19 μB per cell. The calculation puts the raw formation energy at 2608 meV/atom. The calculation puts the total DFT energy (no corrections) at -2.861 eV per atom.

a = 5.2672 Å, b = 5.2672 Å, c = 5.3838 Å
α = 90.00°, β = 90.00°, γ = 90.00°
Positions (direct):
Ba1 0.0000 0.0000 0.0000
Al1 0.0000 0.0000 0.5000
Si1 0.0000 0.5000 0.0000
Si2 0.5000 0.0000 0.0000
Mo1 0.5000 0.5000 0.5000


# 2
The following is a PBE-GGA calculation of an optimized crystal structure of BaSr2AlMo, from Alexandria via LeMat-Bulk.

Results
The energy of formation is 2.09 eV per atom. The magnetization is 0.00 μB per cell. The calculation puts the total DFT energy (no corrections) at -1.884 eV per atom.

a = 6.0348 Å, b = 6.0348 Å, c = 5.4346 Å
α = 90.00°, β = 90.00°, γ = 90.00°
Positions (direct):
Ba1 0.0000 0.0000 0.0000
Sr1 0.0000 0.5000 0.0000
Sr2 0.5000 0.0000 0.0000
Al1 0.0000 0.0000 0.5000
Mo1 0.5000 0.5000 0.5000


# 3
The following is a PBE-GGA calculation of an optimized crystal structure of BaAlTe2Mo, from Alexandria via LeMat-Bulk.

Results
The magnetization is 0.00 μB per cell. The calculation puts the raw formation energy at 351 meV/atom. The calculation puts the total DFT energy (no corrections) at -4.205 eV per atom.

a = 5.3596 Å, b = 5.3596 Å, c = 5.7109 Å
α = 90.00°, β = 90.00°, γ = 90.00°
Positions (direct):
Ba1 0.0000 0.0000 0.0000
Al1 0.5000 0.5000 0.0000
Te1 0.0000 0.5000 0.5000
Te2 0.5000 0.0000 0.5000
Mo1 0.0000 0.0000 0.5000


# 4
The following is a PBE-GGA calculation of an optimized crystal structure of Ba2AlN, from Alexandria via LeMat-Bulk.

Results
The magnetization is 0.00 μB per cell. For the energy relative to the lowest polymorph listed for this composition, the calculation gives 184.7 kJ/mol of formula units. The calculation puts the raw formation energy at 575 meV/atom. The calculation puts the total DFT energy (no corrections) at -3.403 eV per atom.

a = 5.4676 Å, b = 5.4676 Å, c = 5.4676 Å
α = 60.00°, β = 60.00°, γ = 60.00°
Positions (direct):
Ba1 0.2500 0.2500 0.2500
Ba2 0.7500 0.7500 0.7500
Al1 0.0000 0.0000 0.0000
N1 0.5000 0.5000 0.5000


# 5
The following is a PBE-GGA calculation of an optimized crystal structure of Ba3Al2N4, from Alexandria via LeMat-Bulk.

Results
The magnetization is 0.00 μB per cell. The calculation puts the raw formation energy at -785 meV/atom. The calculation puts the total DFT energy (no corrections) at -5.958 eV per atom.

a = 7.5439 Å, b = 7.5439 Å, c = 5.9787 Å
α = 92.72°, β = 92.72°, γ = 73.88°
Positions (direct):
Ba1 0.1035 0.8965 0.7500
Ba2 0.2373 0.5097 0.4237
Ba3 0.4903 0.7627 0.0763
Ba4 0.5097 0.2373 0.9237
Ba5 0.7627 0.4903 0.5763
Ba6 0.8965 0.1035 0.2500
Al1 0.0943 0.3305 0.9363
Al2 0.3305 0.0943 0.4363
Al3 0.6695 0.9057 0.5637
Al4 0.9057 0.6695 0.0637
N1 0.1343 0.2371 0.6296
N2 0.1625 0.5642 0.9790
N3 0.2371 0.1343 0.1296
N4 0.4358 0.8375 0.5210
N5 0.5642 0.1625 0.4790
N6 0.7629 0.8657 0.8704
N7 0.8375 0.4358 0.0210
N8 0.8657 0.7629 0.3704


# 6
The following is a PBE-GGA calculation of an optimized crystal structure of Ba3AlN, from Alexandria via LeMat-Bulk.

Results
The magnetization is 1.73 μB per cell. For the energy relative to the lowest polymorph listed for this composition, the calculation gives 0.0 kJ/mol of formula units. The calculation puts the raw formation energy at -152 meV/atom. The calculation puts the total DFT energy (no corrections) at -3.719 eV per atom.

a = 5.6072 Å, b = 5.6072 Å, c = 5.6072 Å
α = 90.00°, β = 90.00°, γ = 90.00°
Positions (direct):
Ba1 0.0000 0.0000 0.5000
Ba2 0.0000 0.5000 0.0000
Ba3 0.5000 0.0000 0.0000
Al1 0.5000 0.5000 0.5000
N1 0.0000 0.0000 0.0000


# 7
The following is a PBE-GGA calculation of an optimized crystal structure of BaAl2N, from Alexandria via LeMat-Bulk.

Results
The magnetization is 0.00 μB per cell. The calculation puts the raw formation energy at -13 meV/atom. The calculation puts the total DFT energy (no corrections) at -4.446 eV per atom.

a = 6.3364 Å, b = 6.3364 Å, c = 6.3364 Å
α = 119.55°, β = 119.55°, γ = 90.79°
Positions (direct):
Ba1 0.0000 0.0000 0.0000
Ba2 0.7500 0.2500 0.5000
Al1 0.3365 0.1250 0.7115
Al2 0.3750 0.6635 0.7885
Al3 0.4135 0.6250 0.2885
Al4 0.8750 0.5865 0.2115
N1 0.2500 0.7500 0.5000
N2 0.5000 0.5000 0.0000


# 8
The following is a PBE-GGA calculation of an optimized crystal structure of Ba3Al3N5, from Alexandria via LeMat-Bulk.

Results
The magnetization is 0.00 μB per cell. The calculation puts the raw formation energy at -933 meV/atom. The calculation puts the total DFT energy (no corrections) at -6.262 eV per atom.

a = 5.9496 Å, b = 7.6336 Å, c = 8.8745 Å
α = 108.78°, β = 100.94°, γ = 96.57°
Positions (direct):
Ba1 0.1613 0.1606 0.2160
Ba2 0.1660 0.3569 0.8802
Ba3 0.3107 0.9270 0.6099
Ba4 0.6893 0.0730 0.3901
Ba5 0.8340 0.6431 0.1198
Ba6 0.8387 0.8394 0.7840
Al1 0.1980 0.4702 0.5799
Al2 0.4011 0.6079 0.2925
Al3 0.4164 0.8199 0.9772
Al4 0.5836 0.1801 0.0228
Al5 0.5989 0.3921 0.7075
Al6 0.8020 0.5298 0.4201
N1 0.1306 0.5480 0.3900
N2 0.2810 0.0161 0.9218
N3 0.3134 0.7180 0.1302
N4 0.3212 0.2444 0.5444
N5 0.4358 0.6114 0.7808
N6 0.5642 0.3886 0.2192
N7 0.6788 0.7556 0.4556
N8 0.6866 0.2820 0.8698
N9 0.7190 0.9839 0.0782
N10 0.8694 0.4520 0.6100


# 9
The following is a PBE-GGA calculation of an optimized crystal structure of Ba2AlN, from Alexandria via LeMat-Bulk.

Results
The magnetization is 0.00 μB per cell. For the energy relative to the lowest polymorph listed for this composition, the calculation gives 0.0 kJ/mol of formula units. The calculation puts the raw formation energy at 96 meV/atom. The calculation puts the total DFT energy (no corrections) at -3.882 eV per atom.

a = 7.1541 Å, b = 7.1541 Å, c = 7.1541 Å
α = 112.98°, β = 112.98°, γ = 102.66°
Positions (direct):
Ba1 0.0309 0.6250 0.9059
Ba2 0.3750 0.2809 0.4059
Ba3 0.7191 0.1250 0.0941
Ba4 0.8750 0.9691 0.5941
Al1 0.2500 0.7500 0.5000
Al2 0.5000 0.5000 0.0000
N1 0.0000 0.0000 0.0000
N2 0.7500 0.2500 0.5000


# 10
The following is a PBE-GGA calculation of an optimized crystal structure of BaAlNiN2, from Alexandria via LeMat-Bulk.

Results
The magnetization is 1.40 μB per cell. The calculation puts the raw formation energy at 437 meV/atom. The calculation puts the total DFT energy (no corrections) at -5.182 eV per atom.

a = 3.9991 Å, b = 3.9991 Å, c = 4.7078 Å
α = 90.00°, β = 90.00°, γ = 90.00°
Positions (direct):
Ba1 0.0000 0.0000 0.0000
Al1 0.5000 0.5000 0.5000
Ni1 0.5000 0.5000 0.0000
N1 0.0000 0.5000 0.5000
N2 0.5000 0.0000 0.5000


# 11
The following is a PBE-GGA calculation of an optimized crystal structure of BaAlN2O, from Alexandria via LeMat-Bulk.

Results
The magnetization is 3.98 μB per cell. The calculation puts the raw formation energy at 1428 meV/atom. The calculation puts the total DFT energy (no corrections) at -4.027 eV per atom.

a = 5.3290 Å, b = 5.3290 Å, c = 4.7134 Å
α = 90.00°, β = 90.00°, γ = 90.00°
Positions (direct):
Ba1 0.0000 0.0000 0.0000
Al1 0.5000 0.5000 0.5000
N1 0.0000 0.5000 0.0000
N2 0.5000 0.0000 0.0000
O1 0.0000 0.0000 0.5000


# 12
The following is a PBE-GGA calculation of an optimized crystal structure of BaAlN2O, from Alexandria via LeMat-Bulk.

Results
The magnetization is 3.00 μB per cell. The calculation puts the raw formation energy at -665 meV/atom. The calculation puts the total DFT energy (no corrections) at -6.120 eV per atom.

a = 4.0854 Å, b = 4.0854 Å, c = 3.9876 Å
α = 90.00°, β = 90.00°, γ = 90.00°
Positions (direct):
Ba1 0.0000 0.0000 0.0000
Al1 0.5000 0.5000 0.5000
N1 0.0000 0.5000 0.5000
N2 0.5000 0.0000 0.5000
O1 0.5000 0.5000 0.0000


| no. | mass density (g/cm3) |
| --- | --- |
| 1 | 3.52 |
| 2 | 3.65 |
| 3 | 5.22 |
| 4 | 4.53 |
| 5 | 5.31 |
| 6 | 4.27 |
| 7 | 3.76 |
| 8 | 5.08 |
| 9 | 3.76 |
| 10 | 5.54 |
| 11 | 2.58 |
| 12 | 5.20 |